[1]
KHN2O: optimized geometry, PBE. Values from VASP.

The structure in Quantum ESPRESSO input format:
```
&SYSTEM
  ibrav = 0, nat = 5, ntyp = 4
/
ATOMIC_SPECIES
N 14.01 N.upf
O 16.00 O.upf
K 39.10 K.upf
H 1.01 H.upf
CELL_PARAMETERS angstrom
5.9414 0.0000 0.0000
0.0000 5.9414 0.0000
0.0000 0.0000 4.8827
ATOMIC_POSITIONS angstrom
N 0.0000 2.9707 0.0000
N 2.9707 0.0000 0.0000
O 0.0000 0.0000 2.4414
K 0.0000 0.0000 0.0000
H 2.9707 2.9707 2.4414
```

- raw total energy (eV per atom) = -2.766
- DOS at the Fermi energy (states/eV/f.u.) = 8.88
- calculated volume (Å³ per cell) = 172.4
- SG = P4/mmm, No. 123

***

[2]
KHNO2: optimized geometry, PBE. Values from VASP.

The structure in Quantum ESPRESSO input format:
```
&SYSTEM
  ibrav = 0, nat = 5, ntyp = 4
/
ATOMIC_SPECIES
K 39.10 K.upf
O 16.00 O.upf
H 1.01 H.upf
N 14.01 N.upf
CELL_PARAMETERS angstrom
-1.3950 2.9464 -3.1927
-4.2289 -0.1526 1.7070
0.5577 1.9500 1.5559
ATOMIC_POSITIONS angstrom
K -2.5331 2.3719 0.0351
O -0.6975 1.4732 -1.5963
O -2.1145 -0.0763 0.8535
H 0.0000 0.0000 0.0000
N 0.2788 0.9750 0.7779
```

- raw total energy (eV per atom) = -3.446
- DOS at the Fermi energy (states/eV/f.u.) = 4.06
- calculated volume (Å³ per cell) = 53.2
- SG = P4/mmm, No. 123

***

[3]
KHNO2: optimized geometry, PBE. Values from VASP.

The structure in Quantum ESPRESSO input format:
```
&SYSTEM
  ibrav = 0, nat = 5, ntyp = 4
/
ATOMIC_SPECIES
N 14.01 N.upf
K 39.10 K.upf
O 16.00 O.upf
H 1.01 H.upf
CELL_PARAMETERS angstrom
5.4073 0.0000 0.0000
0.0000 5.4073 0.0000
0.0000 0.0000 6.0131
ATOMIC_POSITIONS angstrom
N 0.0000 0.0000 3.0065
K 0.0000 0.0000 0.0000
O 2.7036 0.0000 0.0000
O 0.0000 2.7036 0.0000
H 2.7036 2.7036 3.0065
```

- raw total energy (eV per atom) = -2.718
- DOS at the Fermi energy (states/eV/f.u.) = 6.35
- calculated volume (Å³ per cell) = 175.8
- SG = P4/mmm, No. 123

***

[4]
KPHNO2: optimized geometry, PBE. Values from VASP.

The structure in Quantum ESPRESSO input format:
```
&SYSTEM
  ibrav = 0, nat = 36, ntyp = 5
/
ATOMIC_SPECIES
P 30.97 P.upf
K 39.10 K.upf
N 14.01 N.upf
O 16.00 O.upf
H 1.01 H.upf
CELL_PARAMETERS angstrom
8.1895 0.0042 0.0058
-1.9450 7.9552 0.0058
-1.9450 -2.4792 7.5590
ATOMIC_POSITIONS angstrom
P 4.9273 3.4859 5.8955
P 2.2131 3.8467 7.1758
P 1.0901 -0.3792 2.4178
P 3.2094 5.8595 5.1529
P 2.0864 1.6336 0.3949
P -0.6278 1.9943 1.6752
K 4.4266 0.5490 2.8155
K 4.8199 4.1893 2.4829
K -0.1271 4.9313 4.7552
K -0.5204 1.2909 5.0878
K 2.9218 0.5851 6.1698
K 1.3777 4.8951 1.4009
N 2.0402 0.0688 1.0679
N 4.7183 5.0899 5.3392
N 0.4788 2.2179 0.3989
N -0.4188 0.3904 2.2316
N 2.2593 5.4115 6.5029
N 3.8207 3.2623 7.1718
O -1.1043 6.0839 2.2783
O -0.2980 2.9387 2.8034
O 1.3743 2.9452 6.3056
O 6.1719 2.0471 1.0682
O 1.7660 0.1259 3.6673
O 5.4038 -0.6037 5.2924
O 2.9252 2.5351 1.2651
O 4.5975 2.5415 4.7673
O 3.7802 6.4900 1.0796
O 2.5335 5.3543 3.9034
O 0.5193 -1.0097 6.4912
O -1.8724 3.4332 6.5025
H 4.2338 -1.8300 7.2485
H 6.2355 5.8870 0.5255
H 0.0657 7.3103 0.3222
H 7.0846 -0.2573 1.8141
H -2.7851 5.7376 5.7566
H -1.9360 -0.4067 7.0452
```

- raw total energy (eV per atom) = -6.238
- DOS at the Fermi energy (states/eV/f.u.) = 0.00
- calculated volume (Å³ per cell) = 492.8
- SG = R-3, No. 148

***

[5]
K3H2S2NO7: optimized geometry, PBE. Values from VASP.

The structure in Quantum ESPRESSO input format:
```
&SYSTEM
  ibrav = 0, nat = 30, ntyp = 5
/
ATOMIC_SPECIES
H 1.01 H.upf
O 16.00 O.upf
K 39.10 K.upf
S 32.06 S.upf
N 14.01 N.upf
CELL_PARAMETERS angstrom
6.8231 -0.0584 0.0296
-1.9157 7.8007 -0.1298
-0.0811 -1.2673 8.4069
ATOMIC_POSITIONS angstrom
H 4.6113 1.5282 4.4348
H -0.3482 3.9002 2.8225
H 5.1744 2.5747 5.4842
H 0.2150 4.9467 3.8719
O 1.2843 5.2710 -0.0268
O 5.0671 3.2656 1.7222
O 0.4825 4.2806 3.1894
O 1.8180 4.4149 6.0599
O 0.0771 0.9600 2.6488
O 4.1949 6.5574 1.7109
O 4.7492 5.5149 5.6579
O 3.5420 1.2040 8.3335
O 4.3437 2.1944 5.1173
O 0.6314 -0.0824 6.5958
O -0.2408 3.2094 6.5845
O 0.0171 6.5309 4.7786
O 3.0083 2.0601 2.2468
O 4.8092 -0.0560 3.5281
K 4.4739 -0.5581 6.4626
K 4.0397 3.8683 7.8171
K 3.3287 4.6318 3.5743
K 0.3523 7.0331 1.8441
K 0.7866 2.6067 0.4896
K 1.4975 1.8432 4.7324
S -0.8795 6.3862 5.9663
S 5.7058 0.0887 2.3404
S 4.1383 2.1779 1.2847
S 0.6879 4.2970 7.0220
N 4.9049 0.7657 1.1025
N -0.0786 5.7092 7.2042
```

- DOS at the Fermi energy (states/eV/f.u.) = 0.00
- calculated volume (Å³ per cell) = 445.5
- excess energy over the best structure of this formula in the dataset (eV per formula unit) = 0.00
- SG = P-1, No. 2

***

[6]
K3H2S2NO7: optimized geometry, PBE. Values from VASP.

The structure in Quantum ESPRESSO input format:
```
&SYSTEM
  ibrav = 0, nat = 30, ntyp = 5
/
ATOMIC_SPECIES
S 32.06 S.upf
O 16.00 O.upf
K 39.10 K.upf
H 1.01 H.upf
N 14.01 N.upf
CELL_PARAMETERS angstrom
8.0313 0.5504 -0.2234
-1.4904 6.8061 -0.6123
-0.4975 -1.7448 8.1469
ATOMIC_POSITIONS angstrom
S 0.8086 5.8925 -0.0433
S 6.1318 1.3369 5.2198
S 5.2348 -0.2808 7.3546
S -0.0884 4.2748 2.0915
O 0.0329 5.2645 3.2161
O 6.0106 0.3472 4.0952
O 4.8935 2.1846 5.2359
O 2.4311 0.9932 4.7410
O 1.1500 3.4271 2.0753
O 6.7433 3.9862 2.0750
O -0.6999 1.6256 5.2363
O 2.6170 0.2605 1.4185
O 3.4265 5.3512 5.8928
O -0.3246 4.5841 6.8384
O 6.3680 1.0276 0.4729
O 4.0288 0.5394 7.6293
O 2.0147 5.0723 -0.3180
O 3.6123 4.6185 2.5703
K 0.1859 0.8162 2.6789
K 1.5986 3.6358 5.0253
K 1.1273 0.6018 7.4467
K 4.9161 5.0099 -0.1355
K 4.4448 1.9759 2.2860
K 5.8575 4.7955 4.6323
H 2.6764 4.4543 2.2976
H 3.6725 5.5411 2.9071
H 2.3709 0.0706 4.4042
H 3.3670 1.1574 5.0137
N 6.3836 0.6142 6.6262
N -0.3402 4.9975 0.6851
```

- DOS at the Fermi energy (states/eV/f.u.) = 0.00
- calculated volume (Å³ per cell) = 442.3
- excess energy over the best structure of this formula in the dataset (eV per formula unit) = 0.06
- SG = P-1, No. 2

***

[7]
K2HS2NO6: optimized geometry, PBE. Values from VASP.

The structure in Quantum ESPRESSO input format:
```
&SYSTEM
  ibrav = 0, nat = 24, ntyp = 5
/
ATOMIC_SPECIES
K 39.10 K.upf
N 14.01 N.upf
S 32.06 S.upf
O 16.00 O.upf
H 1.01 H.upf
CELL_PARAMETERS angstrom
7.6000 0.0936 -0.3368
3.7010 6.6386 -0.3368
-0.1950 -0.1162 7.3417
ATOMIC_POSITIONS angstrom
K 8.4765 2.0907 4.4990
K 5.9720 6.5166 0.8281
K 5.0903 -0.0166 5.9792
K 2.5066 4.5422 2.3084
N 5.2093 3.8340 5.1043
N 5.9494 2.8134 1.4334
S 5.1772 1.5600 2.2492
S 3.7394 3.7519 5.9201
S 5.8513 5.2331 4.3847
S 7.4853 2.7118 0.7139
O 7.7468 4.0985 0.3348
O 7.2091 1.6684 6.9170
O 3.8127 2.0677 2.3814
O 8.3632 2.2038 1.7732
O 4.9972 5.6031 3.2461
O 3.5361 2.3102 6.0522
O 4.1456 4.5522 -0.1333
O 2.6980 4.4094 5.1158
O 7.1952 4.8028 4.0057
O 5.8794 1.4199 3.5375
O 5.2596 0.3311 1.4450
O 5.8226 6.2470 5.4440
H 5.3722 2.9902 4.5276
H 5.2849 3.3584 0.8567
```

- DOS at the Fermi energy (states/eV/f.u.) = 0.00
- calculated volume (Å³ per cell) = 367.3
- excess energy over the best structure of this formula in the dataset (eV per formula unit) = 0.00
- SG = Cc, No. 9

***

[8]
K2HS2NO6: optimized geometry, PBE. Values from VASP.

The structure in Quantum ESPRESSO input format:
```
&SYSTEM
  ibrav = 0, nat = 24, ntyp = 5
/
ATOMIC_SPECIES
O 16.00 O.upf
K 39.10 K.upf
H 1.01 H.upf
N 14.01 N.upf
S 32.06 S.upf
CELL_PARAMETERS angstrom
-0.5438 0.1271 -7.6556
0.3839 -7.2926 -0.1483
-6.5853 -3.0504 0.4171
ATOMIC_POSITIONS angstrom
O -3.8521 -8.7853 -4.8131
O -5.1209 -7.2705 -2.2969
O -1.6453 -4.0775 -7.4356
O -3.8896 -5.1751 -2.5651
O -2.7830 -1.7380 -1.6990
O -1.2424 -6.9928 -2.5475
O -5.4313 -9.0949 -6.6457
O -5.4977 -3.5810 -4.8253
O -2.8709 -5.3189 -5.7129
O -1.6221 -3.3026 -5.1162
O -5.1947 -5.5488 -0.5389
O -0.9394 -7.8439 -0.2750
K -1.3874 -4.0721 -2.4582
K -1.3875 -7.6736 -5.2360
K -5.3454 -2.7627 -1.5752
K -5.4274 -6.3450 -5.5071
H -3.4849 -2.4505 -7.3338
H -2.7712 -6.2187 -0.0621
N -3.1340 -6.8757 -0.7664
N -3.7461 -3.1312 -6.6073
S -1.8333 -7.7450 -1.4218
S -4.9076 -2.4500 -5.5488
S -2.3679 -4.0186 -6.1714
S -4.4318 -6.1626 -1.6271
```

- DOS at the Fermi energy (states/eV/f.u.) = 0.00
- calculated volume (Å³ per cell) = 378.6
- excess energy over the best structure of this formula in the dataset (eV per formula unit) = 0.22
- SG = Pc, No. 7

***

[9]
KPHN2: optimized geometry, PBE. Values from VASP.

The structure in Quantum ESPRESSO input format:
```
&SYSTEM
  ibrav = 0, nat = 10, ntyp = 4
/
ATOMIC_SPECIES
P 30.97 P.upf
K 39.10 K.upf
H 1.01 H.upf
N 14.01 N.upf
CELL_PARAMETERS angstrom
2.7408 0.0000 0.0000
-1.3704 7.5132 -0.3522
0.0000 -2.1787 6.4407
ATOMIC_POSITIONS angstrom
P 1.3704 4.7125 5.1578
P 0.0000 0.6220 0.9307
K 1.3704 0.5516 4.4995
K 0.0000 4.7829 1.5890
H 0.0000 2.9260 5.5099
H 1.3704 2.4085 0.5786
N 1.3704 0.1430 1.7462
N 1.3704 3.1190 5.5210
N 0.0000 2.2155 0.5676
N 0.0000 5.1915 4.3424
```

- raw total energy (eV per atom) = -5.548
- DOS at the Fermi energy (states/eV/f.u.) = 0.00
- calculated volume (Å³ per cell) = 130.5
- SG = C2/m, No. 12

***

[10]
KReH2N: optimized geometry, PBE. Values from VASP.

The structure in Quantum ESPRESSO input format:
```
&SYSTEM
  ibrav = 0, nat = 5, ntyp = 4
/
ATOMIC_SPECIES
K 39.10 K.upf
H 1.01 H.upf
Re 186.21 Re.upf
N 14.01 N.upf
CELL_PARAMETERS angstrom
-3.0452 0.3235 0.8723
0.5169 -5.5754 3.8719
0.8984 1.7982 2.4694
ATOMIC_POSITIONS angstrom
K 0.0000 0.0000 0.0000
H -1.5226 0.1617 0.4361
H 0.4492 0.8991 1.2347
Re 0.2584 -2.7877 1.9359
N -0.8150 -1.7269 3.6068
```

- DOS at the Fermi energy (states/eV/f.u.) = 4.10
- calculated volume (Å³ per cell) = 69.0
- excess energy over the best structure of this formula in the dataset (eV per formula unit) = 10.81
- SG = P4/mmm, No. 123

***

no.,total moment (μB/f.u.)
1,3.599
2,0.327
3,5.000
4,0.000
5,0.001
6,0.000
7,0.085
8,0.000
9,0.000
10,0.014